Density functional theory data (PBE) for CdIn2Br after structural relaxation.

Cell and atoms, written as extended XYZ:
```
4
Lattice="-3.711 -1.051 -9.069 -1.682 -4.153 -8.778 -5.125 -4.047 -7.381" Properties=species:S:1:pos:R:3 pbc="T T T"
Cd -7.932 -6.976 -19.025
Br -5.153 -4.532 -12.360
In -0.078 -0.069 -0.188
In -2.614 -2.299 -6.269
```

Properties
Formation energy without anion corrections = -67 kJ/mol of formula units
Volume = 115 Å³/f.u.
Symmetry = No. 160
ρ = 6.1 g/cm³